(1)
# LiHoMgNi | Alexandria via LeMat-Bulk | GGA-PBE | optimized geometry
# total moment	0.0	μB per cell
# energy	-0.133	Ha/atom
data_LiHoMgNi
_chemical_formula_sum 'Li4 Ho4 Mg4 Ni4'
_cell_length_a 6.6441
_cell_length_b 6.6441
_cell_length_c 6.6441
_cell_angle_alpha 90.00
_cell_angle_beta 90.00
_cell_angle_gamma 90.00
_space_group_name_H-M_alt 'F -4 3 m'
_space_group_IT_number 216
_space_group_name_Hall 'F -4 2 3'
loop_
_atom_site_label
_atom_site_type_symbol
_atom_site_fract_x
_atom_site_fract_y
_atom_site_fract_z
_atom_site_occupancy
Li1 Li 0.0000 0.0000 0.0000 1
Ho1 Ho 0.2500 0.2500 0.2500 1
Mg1 Mg 0.2500 0.2500 0.7500 1
Ni1 Ni 0.0000 0.0000 0.5000 1

=====

(2)
# SnBi2Pb | Alexandria via LeMat-Bulk | GGA-PBE | optimized geometry
# total moment	0.0	μB per cell
# energy	-0.139	Ha/atom
data_SnBi2Pb
_chemical_formula_sum 'Sn3 Bi6 Pb3'
_cell_length_a 4.5067
_cell_length_b 4.5067
_cell_length_c 22.7574
_cell_angle_alpha 90.00
_cell_angle_beta 90.00
_cell_angle_gamma 120.00
_space_group_name_H-M_alt 'R -3 m'
_space_group_IT_number 166
_space_group_name_Hall '-R 3 2"'
loop_
_atom_site_label
_atom_site_type_symbol
_atom_site_fract_x
_atom_site_fract_y
_atom_site_fract_z
_atom_site_occupancy
Sn1 Sn 0.0000 0.0000 0.0000 1
Bi1 Bi 0.0000 0.0000 0.2545 1
Pb1 Pb 0.0000 0.0000 0.5000 1

=====

(3)
# LaSm3Tm2Te6 | Alexandria via LeMat-Bulk | GGA-PBE | optimized geometry
# formation energy from raw total energies	-1.35	eV/atom
# total moment	0.0	μB per cell
# energy	-0.193	Ha/atom
data_LaSm3Tm2Te6
_chemical_formula_sum 'La2 Sm6 Tm4 Te12'
_cell_length_a 19.3034
_cell_length_b 4.3857
_cell_length_c 8.9166
_cell_angle_alpha 90.00
_cell_angle_beta 103.52
_cell_angle_gamma 90.00
_space_group_name_H-M_alt 'C 1 2/m 1'
_space_group_IT_number 12
loop_
_space_group_symop_operation_xyz
'x,y,z'
'-x,-y,-z'
'-x,y,-z'
'x,-y,z'
'x+1/2,y+1/2,z'
'-x+1/2,-y+1/2,-z'
'-x+1/2,y+1/2,-z'
'x+1/2,-y+1/2,z'
loop_
_atom_site_label
_atom_site_type_symbol
_atom_site_fract_x
_atom_site_fract_y
_atom_site_fract_z
_atom_site_occupancy
La1 La 0.0000 0.0000 0.0000 1
Sm1 Sm 0.0000 0.0000 0.5000 1
Sm2 Sm 0.1592 0.5000 0.8302 1
Tm1 Tm 0.1652 0.5000 0.3290 1
Te1 Te 0.0061 0.5000 0.2594 1
Te2 Te 0.1705 0.0000 0.5756 1
Te3 Te 0.1726 0.0000 0.0935 1

=====

(4)
# ZrTeOs | Alexandria via LeMat-Bulk | GGA-PBE | optimized geometry
# formation energy from raw total energies	-0.18	eV/atom
# total moment	0.0	μB per cell
# energy	-0.287	Ha/atom
data_ZrTeOs
_chemical_formula_sum 'Zr1 Te1 Os1'
_cell_length_a 4.5445
_cell_length_b 4.5445
_cell_length_c 3.2201
_cell_angle_alpha 90.00
_cell_angle_beta 90.00
_cell_angle_gamma 120.00
_space_group_name_H-M_alt 'P -6 m 2'
_space_group_IT_number 187
_space_group_name_Hall 'P -6 2'
loop_
_atom_site_label
_atom_site_type_symbol
_atom_site_fract_x
_atom_site_fract_y
_atom_site_fract_z
_atom_site_occupancy
Zr1 Zr 0.0000 0.0000 0.0000 1
Te1 Te 0.6667 0.3333 0.5000 1
Os1 Os 0.3333 0.6667 0.5000 1

=====

(5)
# YHf2Pt | Alexandria via LeMat-Bulk | GGA-PBE | optimized geometry
# total moment	0.0	μB per cell
# energy	-0.305	Ha/atom
data_YHf2Pt
_chemical_formula_sum 'Y4 Hf8 Pt4'
_cell_length_a 6.8834
_cell_length_b 6.8834
_cell_length_c 6.8834
_cell_angle_alpha 90.00
_cell_angle_beta 90.00
_cell_angle_gamma 90.00
_space_group_name_H-M_alt 'F m -3 m'
_space_group_IT_number 225
_space_group_name_Hall '-F 4 2 3'
loop_
_atom_site_label
_atom_site_type_symbol
_atom_site_fract_x
_atom_site_fract_y
_atom_site_fract_z
_atom_site_occupancy
Y1 Y 0.0000 0.0000 0.0000 1
Hf1 Hf 0.2500 0.2500 0.2500 1
Pt1 Pt 0.0000 0.0000 0.5000 1

=====

(6)
# Pu2Zn3Co | Alexandria via LeMat-Bulk | GGA-PBE | optimized geometry
# total moment	23.0	μB per cell
# energy	-0.245	Ha/atom
data_Pu2Zn3Co
_chemical_formula_sum 'Pu4 Zn6 Co2'
_cell_length_a 9.0658
_cell_length_b 5.2521
_cell_length_c 5.3759
_cell_angle_alpha 90.00
_cell_angle_beta 124.16
_cell_angle_gamma 90.00
_space_group_name_H-M_alt 'C 1 2/m 1'
_space_group_IT_number 12
loop_
_space_group_symop_operation_xyz
'x,y,z'
'-x,-y,-z'
'-x,y,-z'
'x,-y,z'
'x+1/2,y+1/2,z'
'-x+1/2,-y+1/2,-z'
'-x+1/2,y+1/2,-z'
'x+1/2,-y+1/2,z'
loop_
_atom_site_label
_atom_site_type_symbol
_atom_site_fract_x
_atom_site_fract_y
_atom_site_fract_z
_atom_site_occupancy
Pu1 Pu 0.1306 0.0000 0.3914 1
Zn1 Zn 0.0000 0.5000 0.0000 1
Zn2 Zn 0.2500 0.2500 0.0000 1
Co1 Co 0.0000 0.5000 0.5000 1